1.
{
  "formula": "InCuH3",
  "functional": "PBE",
  "state": "optimized geometry",
  "space_group": "Pm-3m",
  "lattice_angstrom": [[-3.5431, 0.6339, 0.8086], [0.2523, -2.2776, 2.8910], [0.9960, 2.8319, 2.1442]],
  "species": ["H", "H", "H", "Cu", "In"],
  "frac_coords": [[0.5000, 0.0000, 0.0000], [0.0000, 0.0000, 0.5000], [0.0000, 0.5000, 0.0000], [0.0000, 0.0000, 0.0000], [0.5000, 0.5000, 0.5000]]
}



2.
{
  "formula": "Tb7MgAl5",
  "functional": "PBE",
  "state": "optimized geometry",
  "ef_ev_per_atom": -0.2056,
  "space_group": "Imm2",
  "lattice_angstrom": [[-3.5865, 4.2241, 3.0535], [-6.1391, -3.2534, 3.8446], [1.9885, 0.9084, 7.6338]],
  "species": ["Al", "Al", "Al", "Al", "Al", "Tb", "Tb", "Tb", "Tb", "Tb", "Tb", "Tb", "Mg"],
  "frac_coords": [[0.5508, 0.9862, 0.4746], [0.5508, 0.4746, 0.9862], [0.9884, 0.9862, 0.4746], [0.9884, 0.4746, 0.9862], [0.7762, 0.7238, 0.7238], [0.2475, 0.7525, 0.7525], [0.0211, 0.6620, 0.2957], [0.6034, 0.3966, 0.3966], [0.5266, 0.1445, 0.8022], [0.2777, 0.2223, 0.2223], [0.0211, 0.2957, 0.6620], [0.5266, 0.8022, 0.1445], [0.9213, 0.0787, 0.0787]]
}



3.
{
  "formula": "ZrAgBAs2",
  "functional": "PBE",
  "state": "optimized geometry",
  "ef_ev_per_atom": 1.6066,
  "space_group": "P4/mmm",
  "lattice_angstrom": [[-2.5815, 3.0597, -2.5553], [-3.5498, -3.9485, -1.1416], [-2.5009, 1.1275, 3.8768]],
  "species": ["As", "As", "Ag", "Zr", "B"],
  "frac_coords": [[0.0000, 0.0000, 0.5000], [0.5000, 0.0000, 0.0000], [0.0000, 0.0000, 0.0000], [0.0000, 0.5000, 0.0000], [0.5000, 0.5000, 0.5000]]
}



4.
{
  "formula": "TlCrBr2",
  "functional": "PBE",
  "state": "optimized geometry",
  "raw_formation_energy_ev_per_atom": -0.38,
  "space_group": "R-3m",
  "lattice_angstrom": [[-3.7725, 6.7220, 5.3306], [-3.5400, 3.8135, 7.7947], [-0.4931, 6.0268, 7.1601]],
  "species": ["Br", "Br", "Cr", "Tl"],
  "frac_coords": [[0.5264, 0.5264, 0.5264], [0.9736, 0.9736, 0.9736], [0.2500, 0.2500, 0.2500], [0.7500, 0.7500, 0.7500]]
}



5.
{
  "formula": "Er6Te3Au2Se",
  "functional": "PBE",
  "state": "optimized geometry",
  "raw_formation_energy_ev_per_atom": -1.19,
  "space_group": "C2/m",
  "lattice_angstrom": [[7.2586, -0.0039, 0.0009], [-3.6309, 6.2852, 0.0009], [-1.2091, -2.0936, 7.1250]],
  "species": ["Au", "Au", "Te", "Te", "Te", "Er", "Er", "Er", "Er", "Er", "Er", "Se"],
  "frac_coords": [[0.6676, 0.3324, 0.0000], [0.3324, 0.6676, 0.0000], [0.5000, 0.5000, 0.5000], [0.1621, 0.8379, 0.5000], [0.8379, 0.1621, 0.5000], [0.7352, 0.7352, 0.2240], [0.2648, 0.2648, 0.7760], [0.4147, 0.0759, 0.2248], [0.0759, 0.4147, 0.2248], [0.5853, 0.9241, 0.7752], [0.9241, 0.5853, 0.7752], [0.0000, 0.0000, 0.0000]]
}



6.
{
  "formula": "Mg2MoPt",
  "functional": "PBE",
  "state": "optimized geometry",
  "ef_ev_per_atom": 0.0255,
  "space_group": "P4/mmm",
  "lattice_angstrom": [[-1.7367, -4.4828, 0.0864], [3.5364, -1.4265, -2.9288], [1.6346, -0.5897, 2.2610]],
  "species": ["Mo", "Pt", "Mg", "Mg"],
  "frac_coords": [[0.5000, 0.0000, 0.5000], [0.0000, 0.5000, 0.5000], [0.0000, 0.0000, 0.0000], [0.5000, 0.5000, 0.0000]]
}



Going through the records in order, we get total magnetization values of 0.00 0.00 0.00 4.30 0.00 0.00 μB/f.u..
Going through the records in order, we get energy values of -3.00 -4.26 -3.87 -4.22 -5.09 -4.99 eV/atom.